# 1
## P5Pb3Se (PBE)

Data for crystalline P5Pb3Se at its relaxed geometry.

Computed properties:
Total magnetization = 0.000 μB/atom
Uncorrected formation energy = 6.1 kJ per mole of atoms
Symmetry = Cmc2_1 (36)

Cell and atoms, written as CIF:
```
data_P5Pb3Se
_chemical_formula_sum 'P10 Pb6 Se2'
_space_group_name_H-M_alt 'P 1'
_space_group_IT_number 1
_cell_length_a 8.7487
_cell_length_b 8.7487
_cell_length_c 6.9237
_cell_angle_alpha 90.00
_cell_angle_beta 90.00
_cell_angle_gamma 80.35
loop_
_space_group_symop_operation_xyz
'x,y,z'
loop_
_atom_site_label
_atom_site_fract_x
_atom_site_fract_y
_atom_site_fract_z
P1 0.0314 0.1845 0.8306
P2 0.1339 0.3903 0.8782
P3 0.1839 0.8161 0.5000
P4 0.1845 0.0314 0.3306
P5 0.3903 0.1339 0.3782
P6 0.6097 0.8661 0.8782
P7 0.8155 0.9686 0.8306
P8 0.8161 0.1839 0.0000
P9 0.8661 0.6097 0.3782
P10 0.9686 0.8155 0.3306
Pb1 0.1384 0.8616 0.9753
Pb2 0.1625 0.4052 0.2810
Pb3 0.4052 0.1625 0.7810
Pb4 0.5948 0.8375 0.2810
Pb5 0.8375 0.5948 0.7810
Pb6 0.8616 0.1384 0.4753
Se1 0.3656 0.6344 0.3360
Se2 0.6344 0.3656 0.8360
```

=====

# 2
## Ti3Co2Ni8 (PBE)

Data for crystalline Ti3Co2Ni8 at its relaxed geometry.

Computed properties:
Formation energy = -0.05 eV per atom
Total magnetization = 0.234 μB/atom
Symmetry = R-3m (166)

Cell and atoms, written as CIF:
```
data_Ti3Co2Ni8
_chemical_formula_sum 'Ti3 Co2 Ni8'
_space_group_name_H-M_alt 'P 1'
_space_group_IT_number 1
_cell_length_a 9.3541
_cell_length_b 9.3541
_cell_length_c 9.3541
_cell_angle_alpha 28.57
_cell_angle_beta 28.57
_cell_angle_gamma 28.57
loop_
_space_group_symop_operation_xyz
'x,y,z'
loop_
_atom_site_label
_atom_site_fract_x
_atom_site_fract_y
_atom_site_fract_z
Ti1 0.0000 0.0000 0.0000
Ti2 0.1879 0.1879 0.1879
Ti3 0.8121 0.8121 0.8121
Co1 0.3609 0.3609 0.3609
Co2 0.6391 0.6391 0.6391
Ni1 0.2297 0.7334 0.7334
Ni2 0.2666 0.2666 0.7703
Ni3 0.2666 0.7703 0.2666
Ni4 0.2772 0.2772 0.2772
Ni5 0.7228 0.7228 0.7228
Ni6 0.7334 0.2297 0.7334
Ni7 0.7334 0.7334 0.2297
Ni8 0.7703 0.2666 0.2666
```

=====

# 3
## HfIrAu2 (PBE)

Data for crystalline HfIrAu2 at its relaxed geometry.

Computed properties:
Formation energy = -0.22 eV per atom
Total magnetization = 0.000 μB/atom
Symmetry = Fm-3m (225)
Relative energy among the computed polymorphs = 0.000 eV/atom

Cell and atoms, written as CIF:
```
data_HfIrAu2
_chemical_formula_sum 'Hf1 Ir1 Au2'
_space_group_name_H-M_alt 'P 1'
_space_group_IT_number 1
_cell_length_a 4.6390
_cell_length_b 4.6390
_cell_length_c 4.6390
_cell_angle_alpha 60.00
_cell_angle_beta 60.00
_cell_angle_gamma 60.00
loop_
_space_group_symop_operation_xyz
'x,y,z'
loop_
_atom_site_label
_atom_site_fract_x
_atom_site_fract_y
_atom_site_fract_z
Hf1 0.0000 0.0000 0.0000
Ir1 0.5000 0.5000 0.5000
Au1 0.2500 0.2500 0.2500
Au2 0.7500 0.7500 0.7500
```

=====

Final energy values (in eV for the cell shown) by entry order: -82.17, -84.77, -26.26.